1.
Here is DyYEr after structural relaxation from OQMD via LeMat-Bulk. Energies are from PBE-GGA.

abc: 5.3934 5.3934 5.3934
angles: 60.00 60.00 60.00
Fractional coordinates of all 3 atoms:
1 Dy 0.2500 0.2500 0.2500
2 Er 0.0000 0.0000 0.0000
3 Y 0.7500 0.7500 0.7500

Values from the calculation:
**Offset from the most stable computed form**: 0.0000 eV per atom
**Space group**: No. 216
**ΔH_f (0 K)**: 0.726 eV/atom

2.
Here is Hf2CdAg after structural relaxation from OQMD via LeMat-Bulk. Energies are from PBE-GGA.

abc: 4.5116 4.4757 8.2338
angles: 90.00 90.00 90.00
Fractional coordinates of all 8 atoms:
1 Cd 0.2500 0.0000 0.8890
2 Hf 0.2500 0.0000 0.3740
3 Ag 0.7500 0.5000 0.8765
4 Hf 0.7500 0.0000 0.6260
5 Cd 0.7500 0.0000 0.1110
6 Hf 0.7500 0.5000 0.3749
7 Hf 0.2500 0.5000 0.6251
8 Ag 0.2500 0.5000 0.1235

Values from the calculation:
**Space group**: No. 51
**ΔH_f (0 K)**: -0.112 eV/atom

3.
Here is NaTe4PPd after structural relaxation from OQMD via LeMat-Bulk. Energies are from PBE-GGA.

abc: 9.1209 9.1209 9.1209
angles: 127.77 127.77 77.00
Fractional coordinates of all 14 atoms:
1 Te 0.7045 0.2045 0.1757
2 Na 0.2500 0.2500 0.0000
3 Te 0.4712 0.2955 0.5000
4 P 0.2500 0.7500 0.5000
5 Pd 0.0000 0.5000 0.5000
6 Te 0.5288 0.7045 0.5000
7 Pd 0.5000 0.0000 0.5000
8 Te 0.0288 0.5288 0.8243
9 Te 0.7955 0.9712 0.5000
10 Te 0.9712 0.4712 0.1757
11 Na 0.7500 0.7500 0.0000
12 Te 0.2045 0.0288 0.5000
13 Te 0.2955 0.7955 0.8243
14 P 0.7500 0.2500 0.5000

Values from the calculation:
**DFT total energy**: -3.7328 eV/atom
**Space group**: No. 140

4.
Here is DyEr2Sn4Pd4 after structural relaxation from OQMD via LeMat-Bulk. Energies are from PBE-GGA.

abc: 8.4875 8.4875 8.4875
angles: 150.12 128.34 60.83
Fractional coordinates of all 11 atoms:
1 Sn 0.3029 0.5000 0.8029
2 Pd 0.3794 0.6771 0.7022
3 Pd 0.9749 0.6771 0.2978
4 Pd 0.6206 0.3229 0.2978
5 Pd 0.0251 0.3229 0.7022
6 Sn 0.2147 0.2147 0.0000
7 Sn 0.6971 0.5000 0.1971
8 Dy 0.0000 0.0000 0.0000
9 Er 0.6288 0.1288 0.5000
10 Er 0.3712 0.8712 0.5000
11 Sn 0.7853 0.7853 0.0000

Values from the calculation:
**DFT total energy**: -5.3951 eV/atom
**Space group**: No. 71

5.
Here is TbCd2Ga after structural relaxation from OQMD via LeMat-Bulk. Energies are from PBE-GGA.

abc: 4.8103 6.4682 6.4682
angles: 61.46 90.00 90.00
Fractional coordinates of all 8 atoms:
1 Ga 0.0000 0.3281 0.8377
2 Ga 0.0000 0.8377 0.3281
3 Cd 0.5000 0.1582 0.1582
4 Tb 0.0000 0.3342 0.3342
5 Cd 0.5000 0.1598 0.6799
6 Cd 0.0000 0.8414 0.8414
7 Tb 0.5000 0.6607 0.6607
8 Cd 0.5000 0.6799 0.1598

Values from the calculation:
**Offset from the most stable computed form**: 0.0213 eV per atom
**Space group**: No. 38

6.
Here is Cd2AgAu2 after structural relaxation from OQMD via LeMat-Bulk. Energies are from PBE-GGA.

abc: 7.0133 7.0133 7.0133
angles: 146.16 146.16 48.61
Fractional coordinates of all 5 atoms:
1 Cd 0.2500 0.7500 0.5000
2 Cd 0.7500 0.2500 0.5000
3 Au 0.6012 0.6012 0.0000
4 Ag 0.0000 0.0000 0.0000
5 Au 0.3988 0.3988 0.0000

Values from the calculation:
**Offset from the most stable computed form**: 0.0168 eV per atom
**Space group**: No. 139
**ΔH_f (0 K)**: 0.046 eV/atom

7.
Here is AgI7 after structural relaxation from OQMD via LeMat-Bulk. Energies are from PBE-GGA.

abc: 8.7410 9.2062 10.8326
angles: 97.33 93.67 117.96
Fractional coordinates of all 16 atoms:
1 Ag 0.3090 0.0290 0.2655
2 I 0.7563 0.2667 0.8872
3 I 0.2320 0.2008 0.7174
4 I 0.2437 0.7333 0.1128
5 I 0.2812 0.7562 0.8577
6 Ag 0.6910 0.9710 0.7345
7 I 0.7680 0.7992 0.2826
8 I 0.9364 0.2091 0.5739
9 I 0.2370 0.2583 0.9914
10 I 0.3437 0.7636 0.5787
11 I 0.6563 0.2364 0.4213
12 I 0.2594 0.3035 0.2630
13 I 0.7630 0.7417 0.0086
14 I 0.7406 0.6965 0.7370
15 I 0.7188 0.2438 0.1423
16 I 0.0636 0.7909 0.4261

Values from the calculation:
**DFT total energy**: -1.7416 eV/atom
**Space group**: No. 2

8.
Here is Rb2AgPbCl6 after structural relaxation from OQMD via LeMat-Bulk. Energies are from PBE-GGA.

abc: 7.5818 7.5818 7.5818
angles: 120.01 120.01 89.99
Fractional coordinates of all 10 atoms:
1 Cl 0.7555 0.7555 0.0000
2 Cl 0.2444 0.2444 0.4889
3 Pb 0.5000 0.5000 0.0000
4 Cl 0.2444 0.7556 0.0000
5 Rb 0.7500 0.2500 0.5000
6 Cl 0.7556 0.7556 0.5111
7 Ag 0.0000 0.0000 0.0000
8 Cl 0.7556 0.2444 0.0000
9 Cl 0.2445 0.2445 0.0000
10 Rb 0.2500 0.7500 0.5000

Values from the calculation:
**Offset from the most stable computed form**: 0.0058 eV per atom
**Space group**: No. 225